Record 1
Here is a geometry-optimized KGePdPt structure from the Alexandria database. Energies are from PBE.

```
KGePdPt
1.0
3.761 -2.187 0.000
3.761 2.187 0.000
-2.519 0.000 6.003
K Ge Pd Pt
1 1 1 1
Cartesian
0.000 0.000 0.000
2.499 0.000 3.117
5.006 0.000 2.527
-0.007 0.000 3.489
```

Output
crystal system: monoclinic

Record 2
Here is a geometry-optimized KRb2GePd structure from the Alexandria database. Energies are from PBE.

```
KRb2GePd
1.0
6.404 0.000 0.000
0.000 6.404 0.000
0.000 0.000 6.157
K Rb Ge Pd
1 2 1 1
Cartesian
0.000 0.000 0.000
0.000 3.202 3.078
3.202 0.000 3.078
3.202 3.202 0.000
0.000 0.000 3.078
```

Output
crystal system: tetragonal

Record 3
Here is a geometry-optimized KZn2GePd structure from the Alexandria database. Energies are from PBE.

```
KZn2GePd
1.0
4.985 0.000 0.000
0.000 4.985 0.000
0.000 0.000 4.844
K Zn Ge Pd
1 2 1 1
Cartesian
0.000 0.000 0.000
0.000 2.493 2.422
2.493 0.000 2.422
2.493 2.493 0.000
2.493 2.493 2.422
```

Output
crystal system: tetragonal

Record 4
Here is a geometry-optimized KPmGe4 structure from the Alexandria database. Energies are from PBE.

```
KPmGe4
1.0
0.000 4.085 4.085
4.085 0.000 4.085
4.085 4.085 0.000
K Pm Ge
1 1 4
Cartesian
0.000 0.000 0.000
6.127 6.127 6.127
3.093 3.093 3.093
5.077 5.077 3.093
5.077 3.093 5.077
3.093 5.077 5.077
```

Output
crystal system: cubic

Record 5
Here is a geometry-optimized KPmGe2 structure from the Alexandria database. Energies are from PBE.

```
KPmGe2
1.0
4.003 0.000 0.000
0.000 4.003 0.000
0.000 0.000 7.450
K Pm Ge
1 1 2
Cartesian
0.000 0.000 0.000
0.000 0.000 3.725
2.002 2.002 2.466
2.002 2.002 4.984
```

Output
crystal system: tetragonal

Record 6
Here is a geometry-optimized KPm4Ge4 structure from the Alexandria database. Energies are from PBE.

```
KPm4Ge4
1.0
9.905 0.000 0.000
0.000 9.905 0.000
0.000 0.000 5.928
K Pm Ge
2 8 8
Cartesian
2.476 2.476 1.482
7.429 7.429 4.446
1.128 6.221 0.798
1.268 8.777 3.762
3.684 6.081 3.762
3.824 8.637 0.798
6.081 1.268 5.130
6.221 3.824 2.166
8.637 1.128 2.166
8.777 3.684 5.130
0.651 5.710 3.803
0.758 9.254 0.839
4.195 5.604 0.839
4.302 9.147 3.803
5.604 0.758 2.125
5.710 4.302 5.089
9.147 0.651 5.089
9.254 4.195 2.125
```

Output
crystal system: tetragonal

Record 7
Here is a geometry-optimized KPmGe structure from the Alexandria database. Energies are from PBE.

```
KPmGe
1.0
1.924 -12.918 0.000
1.924 12.918 0.000
0.000 0.000 4.663
K Pm Ge
2 2 2
Cartesian
1.924 8.391 3.497
1.924 -8.391 1.166
1.924 11.631 1.166
1.924 -11.631 3.497
1.924 1.529 1.166
1.924 -1.529 3.497
```

Output
crystal system: orthorhombic

Record 8
Here is a geometry-optimized K2Pm2GeS6 structure from the Alexandria database. Energies are from PBE.

```
K2Pm2GeS6
1.0
3.474 -5.932 0.000
3.474 5.932 0.000
-2.331 0.000 7.539
K Pm Ge S
2 2 1 6
Cartesian
3.474 3.907 0.000
3.474 -3.907 0.000
2.308 1.997 3.769
2.308 -1.997 3.769
-1.166 0.000 3.769
-0.111 1.787 5.226
0.819 0.000 2.374
-0.111 -1.787 5.226
4.728 1.787 2.313
3.798 0.000 5.165
4.728 -1.787 2.313
```

Output
crystal system: monoclinic

Record 9
Here is a geometry-optimized K3Pm3GeS8 structure from the Alexandria database. Energies are from PBE.

```
K3Pm3GeS8
1.0
4.044 2.335 7.528
-4.044 2.335 7.528
0.000 -4.670 7.528
K Pm Ge S
3 3 1 8
Cartesian
-2.022 -1.167 7.528
-2.022 1.167 15.056
0.000 2.335 7.528
-4.044 0.000 11.292
-2.022 1.167 3.764
2.022 1.167 3.764
0.000 0.000 11.292
0.000 0.000 5.313
-1.798 -1.038 12.713
0.000 -2.076 9.871
-1.798 1.038 9.871
1.798 -1.038 12.713
0.000 2.076 12.713
1.798 1.038 9.871
0.000 0.000 17.270
```

Output
crystal system: trigonal

Record 10
Here is a geometry-optimized K2PmGeSe4 structure from the Alexandria database. Energies are from PBE.

```
K2PmGeSe4
1.0
-4.282 4.396 6.146
4.282 -4.396 6.146
4.282 4.396 -6.146
K Pm Ge Se
4 2 2 8
Cartesian
0.000 0.000 0.000
-2.141 2.198 3.073
0.000 4.396 0.000
2.141 2.198 3.073
4.282 0.000 0.000
0.000 0.000 6.146
2.141 2.198 -3.073
2.141 -2.198 3.073
4.282 -0.368 2.952
4.282 4.028 -2.952
2.314 2.198 -0.251
6.250 2.198 -0.251
-1.968 2.198 6.397
1.968 2.198 6.397
0.000 0.368 9.098
0.000 4.764 3.193
```

Output
crystal system: orthorhombic

Record 11
Here is a geometry-optimized KPmGeSe3 structure from the Alexandria database. Energies are from PBE.

```
KPmGeSe3
1.0
8.674 0.000 0.000
0.000 4.122 0.000
-3.337 0.000 10.700
K Pm Ge Se
2 2 2 6
Cartesian
1.160 1.030 3.027
4.177 3.091 7.673
0.248 3.091 9.036
5.090 1.030 1.664
-0.770 1.030 5.994
6.107 3.091 4.706
-1.764 1.030 8.276
0.929 3.091 6.139
3.079 3.091 1.209
2.259 1.030 9.491
4.408 1.030 4.561
7.101 3.091 2.423
```

Output
crystal system: monoclinic

Record 12
Here is a geometry-optimized K2PmGeTe4 structure from the Alexandria database. Energies are from PBE.

```
K2PmGeTe4
1.0
-4.531 4.755 6.606
4.531 -4.755 6.606
4.531 4.755 -6.606
K Pm Ge Te
4 2 2 8
Cartesian
0.000 0.000 0.000
-2.266 2.377 3.303
0.000 4.755 0.000
2.266 2.377 3.303
4.531 0.000 0.000
0.000 0.000 6.606
2.266 2.377 -3.303
2.266 -2.377 3.303
4.531 -0.367 3.151
4.531 4.388 -3.151
2.449 2.377 -0.245
6.613 2.377 -0.245
-2.082 2.377 6.851
2.082 2.377 6.851
0.000 0.367 9.757
0.000 5.121 3.455
```

Output
crystal system: orthorhombic

Record 13
Here is a geometry-optimized KPmGeTe3 structure from the Alexandria database. Energies are from PBE.

```
KPmGeTe3
1.0
9.236 0.000 0.000
0.000 4.352 0.000
-3.790 0.000 11.220
K Pm Ge Te
2 2 2 6
Cartesian
1.109 1.088 3.191
4.338 3.264 8.030
0.152 3.264 9.419
5.295 1.088 1.801
-1.002 1.088 6.206
6.449 3.264 5.014
-2.049 1.088 8.701
0.886 3.264 6.320
3.120 3.264 1.227
2.326 1.088 9.993
4.560 1.088 4.900
7.495 3.264 2.519
```

Output
crystal system: monoclinic

Record 14
Here is a geometry-optimized KPrGe structure from the Alexandria database. Energies are from PBE.

```
KPrGe
1.0
3.055 -3.054 0.000
3.055 3.054 0.000
-0.270 0.000 13.707
K Pr Ge
2 2 2
Cartesian
1.403 0.000 4.915
4.436 0.000 8.792
1.256 0.000 12.303
4.584 0.000 1.404
1.533 0.000 1.649
4.306 0.000 12.057
```

Output
crystal system: monoclinic

Record 15
Here is a geometry-optimized KPrGeS4 structure from the Alexandria database. Energies are from PBE.

```
KPrGeS4
1.0
6.690 0.000 0.000
0.000 6.720 0.000
-2.576 0.000 8.486
K Pr Ge S
2 2 2 8
Cartesian
0.428 1.680 3.687
3.686 5.040 4.799
-0.629 1.680 8.034
4.743 5.040 0.452
1.392 5.040 1.525
2.722 1.680 6.961
-0.353 5.040 2.866
-1.816 5.040 7.872
2.781 0.040 1.845
2.781 3.320 1.845
1.333 3.400 6.641
1.333 6.680 6.641
5.930 1.680 0.614
4.467 1.680 5.620
```

Output
crystal system: monoclinic

Record 16
Here is a geometry-optimized K4Pr3GeS8 structure from the Alexandria database. Energies are from PBE.

```
K4Pr3GeS8
1.0
4.149 2.395 7.395
-4.149 2.395 7.395
0.000 -4.790 7.395
K Pr Ge S
4 3 1 8
Cartesian
0.000 0.000 0.000
-2.074 -1.198 7.395
-2.074 1.198 14.791
0.000 2.395 7.395
-4.149 0.000 11.093
-2.074 1.198 3.698
2.074 1.198 3.698
0.000 0.000 11.093
0.000 0.000 5.264
-1.951 -1.127 12.575
0.000 -2.253 9.612
-1.951 1.127 9.612
1.951 -1.127 12.574
0.000 2.253 12.574
1.951 1.127 9.612
0.000 0.000 16.922
```

Output
crystal system: trigonal

Record 17
Here is a geometry-optimized K3Pr3GeS8 structure from the Alexandria database. Energies are from PBE.

```
K3Pr3GeS8
1.0
4.102 2.368 7.526
-4.102 2.368 7.526
0.000 -4.736 7.526
K Pr Ge S
3 3 1 8
Cartesian
-2.051 -1.184 7.526
-2.051 1.184 15.052
0.000 2.368 7.526
-4.102 0.000 11.289
-2.051 1.184 3.763
2.051 1.184 3.763
0.000 0.000 11.289
0.000 0.000 5.334
-1.800 -1.040 12.714
0.000 -2.079 9.865
-1.800 1.040 9.865
1.800 -1.040 12.714
0.000 2.079 12.714
1.800 1.040 9.865
0.000 0.000 17.244
```

Output
crystal system: trigonal

Record 18
Here is a geometry-optimized K3Pr3GeSe8 structure from the Alexandria database. Energies are from PBE.

```
K3Pr3GeSe8
1.0
4.260 2.459 7.880
-4.260 2.459 7.880
0.000 -4.919 7.880
K Pr Ge Se
3 3 1 8
Cartesian
-2.130 -1.230 7.880
-2.130 1.230 15.760
0.000 2.459 7.880
-4.260 0.000 11.820
-2.130 1.230 3.940
2.130 1.230 3.940
0.000 0.000 11.820
0.000 0.000 5.616
-1.905 -1.100 13.353
0.000 -2.200 10.288
-1.905 1.100 10.288
1.905 -1.100 13.353
0.000 2.200 13.353
1.905 1.100 10.288
0.000 0.000 18.025
```

Output
crystal system: trigonal

Record 19
Here is a geometry-optimized KPrGeTe3 structure from the Alexandria database. Energies are from PBE.

```
KPrGeTe3
1.0
9.252 0.000 0.000
0.000 4.386 0.000
-3.713 0.000 11.347
K Pr Ge Te
2 2 2 6
Cartesian
1.152 1.097 3.254
4.388 3.290 8.093
0.200 3.290 9.522
5.339 1.097 1.825
-0.959 1.097 6.278
6.499 3.290 5.069
-2.027 1.097 8.765
0.924 3.290 6.380
3.124 3.290 1.256
2.415 1.097 10.091
4.616 1.097 4.967
7.567 3.290 2.582
```

Output
crystal system: monoclinic

Record 20
Here is a geometry-optimized K2PrGeTe4 structure from the Alexandria database. Energies are from PBE.

```
K2PrGeTe4
1.0
-4.504 4.818 6.645
4.504 -4.818 6.645
4.504 4.818 -6.645
K Pr Ge Te
4 2 2 8
Cartesian
0.000 0.000 0.000
-2.252 2.409 3.322
0.000 4.818 0.000
2.252 2.409 3.322
4.504 0.000 0.000
0.000 0.000 6.645
2.252 2.409 -3.322
2.252 -2.409 3.322
4.504 -0.386 3.194
4.504 4.432 -3.194
2.407 2.409 -0.251
6.601 2.409 -0.251
-2.097 2.409 6.895
2.097 2.409 6.895
0.000 0.386 9.838
0.000 5.204 3.451
```

Output
crystal system: orthorhombic

Per-record E, eV/cell: -18.39 -10.93 -13.85 -25.68 -16.70 -86.27 -22.82 -55.56 -77.07 -68.35 -56.62 -61.58 -51.10 -23.08 -71.58 -80.15 -76.79 -70.37 -51.10 -61.61